(1)
Computed, not measured: CaMg3Sn after structural relaxation at the GGA-PBE level of DFT.

## Properties
total magnetization = 0.000 μB/atom
DOS(E_F) = 4.7 states/eV per cell
energy above the lowest structure with this stoichiometry = 0.7142 eV/atom
symmetry = Pm-3m (221)
formation energy from the elements = 0.918 eV/atom

Lattice parameters (Å, degrees): 5.762 5.762 5.762 90.00 90.00 90.00
Fractional coordinates of all 5 atoms:
Mg 0.500 0.000 0.000
Mg 0.000 0.000 0.500
Mg 0.000 0.500 0.000
Ca 0.000 0.000 0.000
Sn 0.500 0.500 0.500

=====

(2)
Computed, not measured: SrCaMgSn after structural relaxation at the GGA-PBE level of DFT.

## Properties
total magnetization = 0.000 μB/atom
DOS(E_F) = 1.9 states/eV per cell
symmetry = F-43m (216)
formation energy from the elements = -0.414 eV/atom

Lattice parameters (Å, degrees): 5.613 5.613 5.613 60.00 60.00 60.00
Fractional coordinates of all 4 atoms:
Sn 0.250 0.250 0.250
Ca 0.000 0.000 0.000
Mg 0.750 0.750 0.750
Sr 0.500 0.500 0.500

=====

(3)
Computed, not measured: SrCa2Mg2Sn2 after structural relaxation at the GGA-PBE level of DFT.

## Properties
total magnetization = 0.000 μB/atom
DOS(E_F) = 1.7 states/eV per cell
symmetry = R-3m (166)
formation energy from the elements = -0.433 eV/atom

Lattice parameters (Å, degrees): 5.065 5.065 9.809 75.04 75.04 60.00
Fractional coordinates of all 7 atoms:
Sr 0.000 0.000 0.000
Ca 0.137 0.137 0.590
Ca 0.863 0.863 0.410
Mg 0.425 0.425 0.724
Mg 0.575 0.575 0.276
Sn 0.258 0.258 0.227
Sn 0.742 0.742 0.773

=====

(4)
Computed, not measured: Sr2CaMg3Sn4 after structural relaxation at the GGA-PBE level of DFT.

## Properties
total magnetization = 0.000 μB/atom
DOS(E_F) = 3.5 states/eV per cell
symmetry = P-4m2 (115)
formation energy from the elements = -0.454 eV/atom

Lattice parameters (Å, degrees): 4.889 4.889 12.543 90.00 90.00 90.00
Fractional coordinates of all 10 atoms:
Sn 0.500 0.000 0.647
Sn 0.500 0.500 0.000
Sn 0.000 0.500 0.353
Sn 0.000 0.000 0.000
Sr 0.000 0.500 0.763
Sr 0.500 0.000 0.237
Ca 0.500 0.500 0.500
Mg 0.000 0.500 0.133
Mg 0.500 0.000 0.867
Mg 0.000 0.000 0.500

=====

Q: Number 3 is which compound?
A: SrCa2Mg2Sn2

=====

Q: Which formula does entry 2 have?
A: SrCaMgSn

=====

Repeat the fourth record exactly.
Computed, not measured: Sr2CaMg3Sn4 after structural relaxation at the GGA-PBE level of DFT.

## Properties
total magnetization = 0.000 μB/atom
DOS(E_F) = 3.5 states/eV per cell
symmetry = P-4m2 (115)
formation energy from the elements = -0.454 eV/atom

Lattice parameters (Å, degrees): 4.889 4.889 12.543 90.00 90.00 90.00
Fractional coordinates of all 10 atoms:
Sn 0.500 0.000 0.647
Sn 0.500 0.500 0.000
Sn 0.000 0.500 0.353
Sn 0.000 0.000 0.000
Sr 0.000 0.500 0.763
Sr 0.500 0.000 0.237
Ca 0.500 0.500 0.500
Mg 0.000 0.500 0.133
Mg 0.500 0.000 0.867
Mg 0.000 0.000 0.500